No. 1
Mo2PtN: optimized geometry, PBE.

**Calculated volume**: 55.6 Å³ per cell
**Raw total energy**: -8.815 eV/atom
**ΔE_f (raw)**: 74 kJ/mol of formula units
**Space group**: No. 166
**Crystal system**: trigonal

POSCAR file:
```
Mo2PtN
1.0
-1.253 -1.662 1.880
-1.917 -1.868 -0.837
4.821 -6.756 -0.668
Mo Pt N
2 1 1
direct
0.109 0.109 0.673
0.891 0.891 0.327
0.000 0.000 0.000
0.500 0.500 0.500
```

No. 2
TmPaTaC3: optimized geometry, PBE.

**Calculated volume**: 172.7 Å³ per cell
**Raw total energy**: -9.377 eV/atom
**Space group**: No. 11
**Formation energy**: -0.461 eV/atom
**Crystal system**: monoclinic

POSCAR file:
```
TmPaTaC3
1.0
3.415 0.000 0.000
0.000 5.847 0.233
0.000 -2.267 8.559
Tm Pa Ta C
2 2 2 6
direct
0.250 0.769 0.052
0.750 0.231 0.948
0.750 0.648 0.691
0.250 0.352 0.309
0.250 0.133 0.635
0.750 0.867 0.365
0.250 0.756 0.485
0.750 0.062 0.182
0.750 0.560 0.185
0.750 0.244 0.515
0.250 0.440 0.815
0.250 0.938 0.818
```

No. 3
AgAu2I6: optimized geometry, PBE.

**Calculated volume**: 735.6 Å³ per cell
**Raw total energy**: -2.058 eV/atom
**Energy relative to the lowest polymorph listed for this composition**: 58 meV/atom
**ΔE_f (raw)**: 18 kJ/mol of formula units
**Space group**: No. 15
**Crystal system**: monoclinic

POSCAR file:
```
AgAu2I6
1.0
6.930 -0.090 1.076
0.730 9.866 3.303
-0.508 -0.893 10.379
Ag Au I
2 4 12
direct
0.250 0.083 0.917
0.750 0.917 0.083
0.172 0.535 0.716
0.328 0.284 0.465
0.828 0.465 0.284
0.672 0.716 0.535
0.286 0.738 0.529
0.214 0.471 0.262
0.714 0.262 0.471
0.786 0.529 0.738
0.890 0.869 0.360
0.610 0.640 0.131
0.110 0.131 0.640
0.390 0.360 0.869
0.081 0.812 0.970
0.419 0.030 0.188
0.919 0.188 0.030
0.581 0.970 0.812
```

No. 4
PaTcMo2: optimized geometry, PBE.

**Calculated volume**: 70.7 Å³ per cell
**Raw total energy**: -10.046 eV/atom
**Energy relative to the lowest polymorph listed for this composition**: 216 meV/atom
**Space group**: No. 166
**Formation energy**: 0.335 eV/atom
**Crystal system**: trigonal

POSCAR file:
```
PaTcMo2
1.0
-0.486 -0.814 2.732
-2.512 -1.242 0.713
2.795 -9.476 -0.796
Mo Pa Tc
2 1 1
direct
0.740 0.740 0.780
0.260 0.260 0.220
0.500 0.500 0.500
0.000 0.000 0.000
```

No. 5
Cs2CdBi2Pb: optimized geometry, PBE.

**Calculated volume**: 526.8 Å³ per cell
**Raw total energy**: -2.659 eV/atom
**Space group**: No. 72
**Formation energy**: -0.310 eV/atom
**Crystal system**: orthorhombic

POSCAR file:
```
Cs2CdBi2Pb
1.0
7.631 0.000 0.000
0.000 7.746 0.000
-3.815 -3.873 8.913
Cs Cd Bi Pb
4 2 4 2
direct
0.414 0.168 0.336
0.586 0.832 0.664
0.078 0.332 0.664
0.922 0.668 0.336
0.500 0.750 0.000
0.500 0.250 0.000
0.827 0.095 0.191
0.364 0.595 0.191
0.636 0.405 0.809
0.173 0.905 0.809
0.000 0.750 0.000
0.000 0.250 0.000
```

No. 6
HfTaCrRe: optimized geometry, PBE.

**Calculated volume**: 65.5 Å³ per cell
**Raw total energy**: -11.140 eV/atom
**Space group**: No. 216
**Formation energy**: -0.170 eV/atom
**Crystal system**: cubic

POSCAR file:
```
HfTaCrRe
1.0
4.524 0.000 0.000
2.262 3.918 0.000
2.262 1.306 3.694
Re Hf Cr Ta
1 1 1 1
direct
0.250 0.250 0.250
0.500 0.500 0.500
0.750 0.750 0.750
0.000 0.000 0.000
```

No. 7
BaB2Os: optimized geometry, PBE.

**Calculated volume**: 167.9 Å³ per cell
**Raw total energy**: -6.624 eV/atom
**Energy relative to the lowest polymorph listed for this composition**: 0 meV/atom
**Space group**: No. 141
**Formation energy**: 0.003 eV/atom
**Crystal system**: tetragonal

POSCAR file:
```
BaB2Os
1.0
5.277 0.000 0.000
0.000 5.277 0.000
2.639 2.639 6.027
B Os Ba
4 2 2
direct
0.875 0.125 0.250
0.875 0.625 0.250
0.375 0.125 0.750
0.875 0.125 0.750
0.000 0.000 0.000
0.750 0.250 0.500
0.500 0.500 0.000
0.250 0.750 0.500
```

No. 8
CeHo12In3: optimized geometry, PBE.

**Calculated volume**: 460.2 Å³ per cell
**Raw total energy**: -4.491 eV/atom
**Space group**: No. 123
**Formation energy**: -0.173 eV/atom
**Crystal system**: tetragonal

POSCAR file:
```
CeHo12In3
1.0
4.834 0.000 0.000
0.000 4.834 0.000
0.000 0.000 19.698
Ce Ho In
1 12 3
direct
0.000 0.000 0.000
0.500 0.500 0.000
0.500 0.500 0.255
0.500 0.500 0.500
0.500 0.500 0.745
0.500 0.000 0.130
0.500 0.000 0.377
0.500 0.000 0.623
0.500 0.000 0.870
0.000 0.500 0.130
0.000 0.500 0.377
0.000 0.500 0.623
0.000 0.500 0.870
0.000 0.000 0.256
0.000 0.000 0.500
0.000 0.000 0.744
```

- Which of these has the lowest raw total energy?
  HfTaCrRe

Copy entry 5 word for word.
Cs2CdBi2Pb: optimized geometry, PBE.

**Calculated volume**: 526.8 Å³ per cell
**Raw total energy**: -2.659 eV/atom
**Space group**: No. 72
**Formation energy**: -0.310 eV/atom
**Crystal system**: orthorhombic

POSCAR file:
```
Cs2CdBi2Pb
1.0
7.631 0.000 0.000
0.000 7.746 0.000
-3.815 -3.873 8.913
Cs Cd Bi Pb
4 2 4 2
direct
0.414 0.168 0.336
0.586 0.832 0.664
0.078 0.332 0.664
0.922 0.668 0.336
0.500 0.750 0.000
0.500 0.250 0.000
0.827 0.095 0.191
0.364 0.595 0.191
0.636 0.405 0.809
0.173 0.905 0.809
0.000 0.750 0.000
0.000 0.250 0.000
```